Computed, not measured: an optimized crystal structure of CeTm2Sc at the PBE level of DFT.

Computed properties:
Its formation energy is 0.08 eV per atom. The relative energy among the computed polymorphs is 11 meV/atom. Its symmetry is No. 123. The calculation puts the density of states at the Fermi level at 2.14 states/eV per atom. As for the calculated density: 7.60 g/cm³.

Geometry as POSCAR:
```
CeTm2Sc
1.0
3.410 0.000 0.000
0.000 3.410 0.000
0.000 0.000 9.819
Ce Tm Sc
1 2 1
Cartesian
0.000 0.000 0.000
1.705 1.705 2.532
1.705 1.705 7.288
0.000 0.000 4.910
```